Entry 1:
## RhCSe2 (GGA-PBE)

Data for a relaxed RhCSe2 crystal.

## Properties
Space-group type: R-3m, No. 166
Crystal system: trigonal
V in Å³ per cell: 79.12
Fermi-level density of states in states/eV/atom: 0.487
Total magnetization in μB per cell: 0.00
Energy relative to the elements, uncorrected in eV per formula unit: 2.8

a b c (Å): 6.391 6.391 6.391
angles (deg): 35.61 35.61 35.61
Positions (direct):
Se1 0.098 0.098 0.098
Se2 0.902 0.902 0.902
C1 0.000 0.000 0.000
Rh1 0.500 0.500 0.500


Entry 2:
## Rh3CSe (GGA-PBE)

Data for a relaxed Rh3CSe crystal.

## Properties
Energy relative to the lowest polymorph listed for this composition in eV/atom: 0.0000
Space-group type: Pm-3m, No. 221
Crystal system: cubic
V in Å³ per cell: 70.33
Fermi-level density of states in states/eV/atom: 1.253
Total magnetization in μB per cell: 1.09
Energy relative to the elements, uncorrected in eV per formula unit: 1.7

a b c (Å): 4.128 4.128 4.128
angles (deg): 90.00 90.00 90.00
Last column: magnetic moment on the atom in μB.
Positions (direct):
Se1 0.500 0.500 0.500  0.06
Rh1 0.000 0.000 0.500  0.26
Rh2 0.500 0.000 0.000  0.38
Rh3 0.000 0.500 0.000  0.41
C1 0.000 0.000 0.000  -0.02


Entry 3:
## RhC2Se (GGA-PBE)

Data for a relaxed RhC2Se crystal.

## Properties
Space-group type: I-42d, No. 122
Crystal system: tetragonal
V in Å³ per cell: 105.94
Fermi-level density of states in states/eV/atom: 0.519
Total magnetization in μB per cell: 0.00
Energy relative to the elements, uncorrected in eV per formula unit: 5.0

a b c (Å): 4.781 4.781 5.736
angles (deg): 65.37 65.37 90.00
Positions (direct):
C1 0.112 0.625 0.250
C2 0.375 0.362 0.750
C3 0.638 0.125 0.250
C4 0.875 0.888 0.750
Se1 0.500 0.500 0.000
Se2 0.250 0.750 0.500
Rh1 0.000 0.000 0.000
Rh2 0.750 0.250 0.500


Entry 4:
## RhCSe2 (GGA-PBE)

Data for a relaxed RhCSe2 crystal.

## Properties
Space-group type: R-3m, No. 166
Crystal system: trigonal
V in Å³ per cell: 63.55
Fermi-level density of states in states/eV/atom: 1.014
Total magnetization in μB per cell: 0.40
Energy relative to the elements, uncorrected in eV per formula unit: 4.7

a b c (Å): 7.628 7.628 7.628
angles (deg): 23.81 23.81 23.81
Last column: magnetic moment on the atom in μB.
Positions (direct):
Se1 0.106 0.106 0.106  0.02
Se2 0.894 0.894 0.894  0.02
Rh1 0.000 0.000 0.000  0.33
C1 0.500 0.500 0.500  0.01


Entry 5:
## Rh3CSe (GGA-PBE)

Data for a relaxed Rh3CSe crystal.

## Properties
Energy relative to the lowest polymorph listed for this composition in eV/atom: 1.5271
Space-group type: Pm-3m, No. 221
Crystal system: cubic
V in Å³ per cell: 94.08
Fermi-level density of states in states/eV/atom: 0.926
Total magnetization in μB per cell: 1.34
Energy relative to the elements, uncorrected in eV per formula unit: 9.4

a b c (Å): 4.548 4.548 4.548
angles (deg): 90.00 90.00 90.00
Last column: magnetic moment on the atom in μB.
Positions (direct):
Rh1 0.000 0.500 0.000  0.38
Rh2 0.500 0.000 0.000  0.47
Rh3 0.000 0.000 0.500  0.18
Se1 0.000 0.000 0.000  0.01
C1 0.500 0.500 0.500  0.15


Entry 6:
## RhCSe3 (GGA-PBE)

Data for a relaxed RhCSe3 crystal.

## Properties
Energy relative to the lowest polymorph listed for this composition in eV/atom: 0.0000
Space-group type: Pm-3m, No. 221
Crystal system: cubic
V in Å³ per cell: 80.84
Fermi-level density of states in states/eV/atom: 0.793
Total magnetization in μB per cell: 0.00
Energy relative to the elements, uncorrected in eV per formula unit: 5.9

a b c (Å): 4.324 4.324 4.324
angles (deg): 90.00 90.00 90.00
Positions (direct):
Se1 0.000 0.000 0.500
Se2 0.500 0.000 0.000
Se3 0.000 0.500 0.000
Rh1 0.500 0.500 0.500
C1 0.000 0.000 0.000


Entry 7:
## Th4RhCSe2 (GGA-PBE)

Data for a relaxed Th4RhCSe2 crystal.

## Properties
Space-group type: P2/m, No. 10
Crystal system: monoclinic
V in Å³ per cell: 197.61
Fermi-level density of states in states/eV/atom: 0.768
Total magnetization in μB per cell: 0.00
Energy relative to the elements, uncorrected in eV per formula unit: -8.6

a b c (Å): 3.940 7.377 7.145
angles (deg): 72.10 90.00 90.00
Positions (direct):
Th1 0.000 0.717 0.746
Th2 0.500 0.290 0.716
Th3 0.500 0.710 0.284
Th4 0.000 0.283 0.254
C1 0.000 0.500 0.500
Se1 0.000 0.000 0.000
Se2 0.500 0.000 0.500
Rh1 0.500 0.500 0.000


Entry 8:
## Th6Rh2C3Se (GGA-PBE)

Data for a relaxed Th6Rh2C3Se crystal.

## Properties
Space-group type: C2/m, No. 12
Crystal system: monoclinic
V in Å³ per cell: 261.74
Fermi-level density of states in states/eV/atom: 0.449
Total magnetization in μB per cell: 0.00
Energy relative to the elements, uncorrected in eV per formula unit: -8.1

a b c (Å): 3.820 8.174 9.053
angles (deg): 108.24 102.18 90.00
Positions (direct):
Rh1 0.815 0.632 0.630
Rh2 0.185 0.368 0.370
C1 0.842 0.152 0.683
C2 0.500 0.500 0.000
C3 0.158 0.848 0.317
Th1 0.001 0.722 0.003
Th2 0.653 0.614 0.306
Th3 0.320 0.915 0.641
Th4 0.680 0.085 0.359
Th5 0.999 0.278 0.997
Th6 0.347 0.386 0.694
Se1 0.500 0.000 0.000


Entry 9:
## Th4RhC2Se (GGA-PBE)

Data for a relaxed Th4RhC2Se crystal.

## Properties
Space-group type: P2/m, No. 10
Crystal system: monoclinic
V in Å³ per cell: 178.14
Fermi-level density of states in states/eV/atom: 0.532
Total magnetization in μB per cell: 0.00
Energy relative to the elements, uncorrected in eV per formula unit: -6.0

a b c (Å): 3.832 6.831 7.128
angles (deg): 107.32 90.00 90.00
Positions (direct):
Se1 0.000 0.000 0.000
Th1 0.500 0.274 0.288
Th2 0.000 0.758 0.289
Th3 0.000 0.242 0.711
Th4 0.500 0.726 0.712
Rh1 0.500 0.500 0.000
C1 0.500 0.000 0.500
C2 0.000 0.500 0.500


Entry 10:
## Th8RhC3Se4 (GGA-PBE)

Data for a relaxed Th8RhC3Se4 crystal.

## Properties
Space-group type: R-3m, No. 166
Crystal system: trigonal
V in Å³ per cell: 379.71
Fermi-level density of states in states/eV/atom: 0.525
Total magnetization in μB per cell: 0.00
Energy relative to the elements, uncorrected in eV per formula unit: -16.9

a b c (Å): 7.936 8.335 7.936
angles (deg): 118.44 120.00 90.00
Positions (direct):
Th1 0.734 0.702 0.468
Th2 0.718 0.709 0.963
Th3 0.245 0.709 0.963
Th4 0.755 0.291 0.509
Th5 0.266 0.298 0.532
Th6 0.282 0.291 0.037
Th7 0.755 0.291 0.037
Th8 0.245 0.709 0.491
Se1 0.000 0.000 0.000
Se2 0.500 0.000 0.000
Se3 0.500 0.000 0.500
Se4 0.000 0.000 0.500
C1 0.000 0.500 0.500
C2 0.500 0.500 0.500
C3 0.500 0.500 0.000
Rh1 0.000 0.500 0.000


Entry 11:
## ZnRhCSe2 (GGA-PBE)

Data for a relaxed ZnRhCSe2 crystal.

## Properties
Space-group type: P4/mmm, No. 123
Crystal system: tetragonal
V in Å³ per cell: 107.11
Fermi-level density of states in states/eV/atom: 1.385
Total magnetization in μB per cell: 0.59
Energy relative to the elements, uncorrected in eV per formula unit: 10.2

a b c (Å): 4.767 4.713 4.767
angles (deg): 90.00 90.00 90.00
Last column: magnetic moment on the atom in μB.
Positions (direct):
Rh1 0.000 0.500 0.000  0.66
Se1 0.000 0.000 0.500  0.07
Se2 0.500 0.000 0.000  0.09
C1 0.500 0.500 0.500  -0.16
Zn1 0.000 0.000 0.000  -0.01


Entry 12:
## SiRhC2 (GGA-PBE)

Data for a relaxed SiRhC2 crystal.

## Properties
Space-group type: Amm2, No. 38
Crystal system: orthorhombic
V in Å³ per cell: 106.17
Fermi-level density of states in states/eV/atom: 0.201
Total magnetization in μB per cell: 0.00
Energy relative to the elements, uncorrected in eV per formula unit: 1.0

a b c (Å): 2.582 4.017 10.238
angles (deg): 90.00 90.00 90.00
Positions (direct):
C1 0.500 0.500 0.105
C2 0.000 0.000 0.544
C3 0.500 0.000 0.605
C4 0.000 0.500 0.044
Rh1 0.000 0.500 0.848
Rh2 0.000 0.000 0.348
Si1 0.500 0.000 0.795
Si2 0.500 0.500 0.295


Fermi-level density of states of number 10 (Th8RhC3Se4)? 0.525 states/eV/atom


Please write out number 7 again, unchanged.
## Th4RhCSe2 (GGA-PBE)

Data for a relaxed Th4RhCSe2 crystal.

## Properties
Space-group type: P2/m, No. 10
Crystal system: monoclinic
V in Å³ per cell: 197.61
Fermi-level density of states in states/eV/atom: 0.768
Total magnetization in μB per cell: 0.00
Energy relative to the elements, uncorrected in eV per formula unit: -8.6

a b c (Å): 3.940 7.377 7.145
angles (deg): 72.10 90.00 90.00
Positions (direct):
Th1 0.000 0.717 0.746
Th2 0.500 0.290 0.716
Th3 0.500 0.710 0.284
Th4 0.000 0.283 0.254
C1 0.000 0.500 0.500
Se1 0.000 0.000 0.000
Se2 0.500 0.000 0.500
Rh1 0.500 0.500 0.000


Repeat the twelfth record exactly.
## SiRhC2 (GGA-PBE)

Data for a relaxed SiRhC2 crystal.

## Properties
Space-group type: Amm2, No. 38
Crystal system: orthorhombic
V in Å³ per cell: 106.17
Fermi-level density of states in states/eV/atom: 0.201
Total magnetization in μB per cell: 0.00
Energy relative to the elements, uncorrected in eV per formula unit: 1.0

a b c (Å): 2.582 4.017 10.238
angles (deg): 90.00 90.00 90.00
Positions (direct):
C1 0.500 0.500 0.105
C2 0.000 0.000 0.544
C3 0.500 0.000 0.605
C4 0.000 0.500 0.044
Rh1 0.000 0.500 0.848
Rh2 0.000 0.000 0.348
Si1 0.500 0.000 0.795
Si2 0.500 0.500 0.295